No. 1
AcZnInPt | PBE | relaxed

Cell and atoms, written as POSCAR:
```
AcZnInPt
1.0
5.1167 0.0000 0.0000
2.5584 4.4312 0.0000
2.5584 1.4771 4.1778
Ac Zn Pt In
1 1 1 1
direct
0.5000 0.5000 0.5000
0.2500 0.2500 0.2500
0.7500 0.7500 0.7500
0.0000 0.0000 0.0000
```

Calculated values
**Formation energy from the elements**: -521 meV per atom



No. 2
Ac2ZnIn4Pt3 | PBE | relaxed

Cell and atoms, written as POSCAR:
```
Ac2ZnIn4Pt3
1.0
-3.3629 -2.8895 -1.1683
1.9519 -3.2925 2.5244
-6.0809 3.3888 9.1219
Ac Zn In Pt
2 1 4 3
direct
0.5000 0.0000 0.2508
0.0000 0.5000 0.7492
0.5000 0.5000 0.5000
0.5000 0.5000 0.0000
0.0000 0.0000 0.0000
0.5000 0.0000 0.6275
0.0000 0.5000 0.3725
0.0000 0.0000 0.5000
0.5000 0.0000 0.8621
0.0000 0.5000 0.1379
```

Calculated values
**Formation energy from the elements**: -681 meV per atom



No. 3
AcZnIn2Pt2 | PBE | relaxed

Cell and atoms, written as POSCAR:
```
AcZnIn2Pt2
1.0
5.3265 0.0000 0.0000
0.0000 5.3265 0.0000
-2.6633 -2.6633 5.5292
Ac Zn In Pt
1 1 2 2
direct
0.5000 0.5000 0.0000
0.0000 0.0000 0.0000
0.2500 0.7500 0.5000
0.7500 0.2500 0.5000
0.7798 0.7798 0.5595
0.2202 0.2202 0.4405
```

Calculated values
**Formation energy from the elements**: -447 meV per atom



No. 4
Ac2ZnInPt6 | PBE | relaxed

Cell and atoms, written as POSCAR:
```
Ac2ZnInPt6
1.0
8.6826 -0.0176 2.0053
0.0144 5.7870 -0.0179
5.8144 2.8961 6.1004
Ac Zn In Pt
2 1 1 6
direct
0.2071 0.7932 0.4139
0.7929 0.2068 0.5861
0.5000 0.5000 0.0000
0.0000 0.0000 0.0000
0.2551 0.7443 0.0055
0.7448 0.7504 0.9944
0.2500 0.2557 0.4893
0.7449 0.2557 0.9945
0.2552 0.2496 0.0056
0.7500 0.7443 0.5107
```

Calculated values
**Formation energy from the elements**: -698 meV per atom



No. 5
Ac3Zn2InPt9 | PBE | relaxed

Cell and atoms, written as POSCAR:
```
Ac3Zn2InPt9
1.0
7.6460 0.0000 0.0000
-3.8230 6.6216 0.0000
0.0000 0.0000 6.7344
Ac Zn In Pt
3 2 1 9
direct
0.3333 0.6667 0.6595
0.0000 0.0000 0.0000
0.6667 0.3333 0.3405
0.3333 0.6667 0.1474
0.6667 0.3333 0.8526
0.0000 0.0000 0.5000
0.8282 0.1718 0.6834
0.8282 0.6563 0.6834
0.3437 0.1718 0.6834
0.6563 0.8282 0.3166
0.1718 0.3437 0.3166
0.1718 0.8282 0.3166
0.5000 0.0000 0.0000
0.0000 0.5000 0.0000
0.5000 0.5000 0.0000
```

Calculated values
**Formation energy from the elements**: -469 meV per atom



No. 6
Ac2Zn4InPt3 | PBE | relaxed

Cell and atoms, written as POSCAR:
```
Ac2Zn4InPt3
1.0
4.2823 0.0000 0.0000
0.0000 4.2823 0.0000
0.0000 0.0000 11.6169
Ac Zn In Pt
2 4 1 3
direct
0.5000 0.0000 0.2379
0.0000 0.5000 0.7621
0.5000 0.5000 0.0000
0.0000 0.0000 0.0000
0.5000 0.0000 0.6408
0.0000 0.5000 0.3592
0.5000 0.5000 0.5000
0.0000 0.0000 0.5000
0.5000 0.0000 0.8651
0.0000 0.5000 0.1349
```

Calculated values
**Formation energy from the elements**: -693 meV per atom



No. 7
AcPu2In | PBE | relaxed

Cell and atoms, written as POSCAR:
```
AcPu2In
1.0
5.2288 0.0000 0.0000
0.0000 4.8094 0.0000
0.0000 0.0000 4.8094
Ac In Pu
1 1 2
direct
0.5000 0.5000 0.5000
0.5000 0.0000 0.0000
0.0000 0.0000 0.5000
0.0000 0.5000 0.0000
```

Calculated values
**Energy above the lowest structure with this stoichiometry**: 0.000 eV per atom
**Formation energy from the elements**: -3 meV per atom



No. 8
Ac2PuIn6 | PBE | relaxed

Cell and atoms, written as POSCAR:
```
Ac2PuIn6
1.0
-0.8355 -3.7000 0.1434
5.6043 -1.5326 -6.8043
8.5956 -1.8814 1.6226
Ac Pu In
2 1 6
direct
0.0000 0.3333 0.3333
0.0000 0.6667 0.6667
0.0000 0.0000 0.0000
0.4990 0.6719 0.0000
0.5010 0.0000 0.3281
0.5010 0.3281 0.0000
0.5000 0.6718 0.3282
0.4990 0.0000 0.6719
0.5000 0.3282 0.6718
```

Calculated values
**Formation energy from the elements**: -320 meV per atom



No. 9
Ac2PuIn | PBE | relaxed

Cell and atoms, written as POSCAR:
```
Ac2PuIn
1.0
-2.7494 1.2837 2.1422
-3.2662 -1.7666 0.0868
2.0791 -7.2459 10.2307
Ac In Pu
2 1 1
direct
0.0934 0.0934 0.7198
0.9066 0.9066 0.2802
0.5000 0.5000 0.5000
0.0000 0.0000 0.0000
```

Calculated values
**Energy above the lowest structure with this stoichiometry**: 0.301 eV per atom
**Formation energy from the elements**: 254 meV per atom



No. 10
AcPu2In9 | PBE | relaxed

Cell and atoms, written as POSCAR:
```
AcPu2In9
1.0
4.7543 0.0000 0.0000
0.0000 4.7543 0.0000
0.0000 0.0000 14.2177
Ac Pu In
1 2 9
direct
0.0000 0.0000 0.0000
0.0000 0.0000 0.3395
0.0000 0.0000 0.6605
0.5000 0.5000 0.0000
0.5000 0.5000 0.3377
0.5000 0.5000 0.6623
0.5000 0.0000 0.1790
0.5000 0.0000 0.5000
0.5000 0.0000 0.8210
0.0000 0.5000 0.1790
0.0000 0.5000 0.5000
0.0000 0.5000 0.8210
```

Calculated values
**Formation energy from the elements**: -272 meV per atom



No. 11
AcPu2In | PBE | relaxed

Cell and atoms, written as POSCAR:
```
AcPu2In
1.0
-4.2670 0.0568 3.4855
-2.6304 -4.6875 1.2112
0.5084 -2.2281 5.0136
Ac In Pu
1 1 2
direct
0.0000 0.0000 0.0000
0.5000 0.5000 0.5000
0.2500 0.2500 0.2500
0.7500 0.7500 0.7500
```

Calculated values
**Energy above the lowest structure with this stoichiometry**: 0.139 eV per atom
**Formation energy from the elements**: 136 meV per atom



No. 12
AcPuIn2 | PBE | relaxed

Cell and atoms, written as POSCAR:
```
AcPuIn2
1.0
-0.5973 1.2836 3.4446
-3.2899 -0.5622 1.6523
2.3106 -8.9548 5.7508
Ac In Pu
1 2 1
direct
0.5000 0.5000 0.5000
0.7457 0.7457 0.7628
0.2543 0.2543 0.2372
0.0000 0.0000 0.0000
```

Calculated values
**Formation energy from the elements**: -53 meV per atom